(1)
PmSnF6 | PBE | optimized geometry

It has space group R-3m (No. 166, hexagonal axes), with a = 4.9110 Å, b = 4.9110 Å, c = 16.9086 Å, α = 90.00°, β = 90.00° and γ = 120.00°. Symmetry generates all atoms from Pm at (0.0000, 0.0000, 0.0000), Sn at (0.0000, 0.0000, 0.5000) and F at (0.0068, 0.5034, 0.9252).

The density comes out at 5.328 g cm⁻³. The value obtained for the uncorrected formation energy is -2.615 eV/atom. The value obtained for the uncorrected energy is -5.11 eV per atom. As for the spin magnetization: 0.000 μB/f.u.

---

(2)
Pm4Sn3F | PBE | optimized geometry

It has space group Imm2 (No. 44), with a = 6.709 Å, b = 10.784 Å, c = 6.330 Å, α = 90.00°, β = 90.00° and γ = 90.00°. Symmetry generates all atoms from Pm at (0.000, 0.222, 0.000), Pm at (0.238, 0.500, 0.817), Sn at (0.000, 0.269, 0.514), Sn at (0.000, 0.500, 0.257) and F at (0.000, 0.000, 0.043).

The density comes out at 6.927 g cm⁻³. The value obtained for the uncorrected formation energy is -0.989 eV/atom. The value obtained for the uncorrected energy is -5.10 eV per atom. As for the spin magnetization: 0.000 μB/f.u.

---

(3)
PmSnF6 | PBE | optimized geometry

It has space group C2/m (No. 12), with a = 5.724 Å, b = 8.423 Å, c = 5.660 Å, α = 90.00°, β = 100.68° and γ = 90.00°. Symmetry generates all atoms from Pm at (0.000, 0.000, 0.000), Sn at (0.000, 0.500, 0.500), F at (0.219, 0.341, 0.760) and F at (0.226, 0.000, 0.714).

The density comes out at 4.678 g cm⁻³. The value obtained for the uncorrected formation energy is -3.053 eV/atom. The value obtained for the uncorrected energy is -5.55 eV per atom. As for the spin magnetization: 0.000 μB/f.u.

---

(4)
PmSn2F8 | PBE | optimized geometry

It has space group C2/m (No. 12), with a = 12.386 Å, b = 5.360 Å, c = 5.329 Å, α = 90.00°, β = 92.81° and γ = 90.00°. Symmetry generates all atoms from Pm at (0.000, 0.000, 0.000), Sn at (0.185, 0.500, 0.537), F at (0.091, 0.243, 0.710), F at (0.093, 0.500, 0.206) and F at (0.171, 0.000, 0.181).

The density comes out at 5.023 g cm⁻³. The value obtained for the uncorrected formation energy is -2.772 eV/atom. The value obtained for the uncorrected energy is -5.29 eV per atom. As for the spin magnetization: 0.000 μB/f.u.